[1]
Density functional theory data (PBE-GGA) for a relaxed structure of CaTePI2.

Lattice parameters (Å, degrees): 5.3892 5.3892 5.6619 90.00 90.00 90.00
Closest atoms and distances in Å follow each position.
Space group P4/mmm (No. 123)
Symmetry-distinct sites (fractional):
Ca1 0.0000 0.0000 0.0000 x1  4 Te 3.81, 8 I 3.91
Te1 0.5000 0.5000 0.0000 x1  2 P 2.83
P1 0.5000 0.5000 0.5000 x1  4 I 2.69, 2 Te 2.83
I1 0.0000 0.5000 0.5000 x2  2 P 2.69

Values from the calculation:
The calculation puts the total magnetization at 0.0 μB/f.u. As for the excess energy over the best structure of this formula in the dataset: 0.000 eV per atom. For the uncorrected formation energy, the calculation gives -330.2 meV/atom.


[2]
Density functional theory data (PBE-GGA) for a relaxed structure of Pa2ReB5.

Lattice parameters (Å, degrees): 5.1411 5.1411 7.6165 90.00 90.00 90.00
Closest atoms and distances in Å follow each position.
Space group I4mm (No. 107)
Symmetry-distinct sites (fractional):
Pa1 0.0000 0.5000 0.0000 x4  10 B 2.63-2.74
Re1 0.0000 0.0000 0.2357 x2  5 B 2.34-2.35
B1 0.0000 0.0000 0.9280 x2  4 B 1.82
B2 0.1783 0.1783 0.7609 x8  3 B 1.82-1.83

Values from the calculation:
The formation energy is -0.4354 eV/atom. The calculation puts the total magnetization at 0.0 μB/f.u.


[3]
Density functional theory data (PBE-GGA) for a relaxed structure of La3VAu.

Lattice parameters (Å, degrees): 5.3391 5.3391 5.3391 90.00 90.00 90.00
Closest atoms and distances in Å follow each position.
Space group Pm-3m (No. 221)
Symmetry-distinct sites (fractional):
La1 0.0000 0.0000 0.5000 x3  2 V 2.67
V1 0.0000 0.0000 0.0000 x1  6 La 2.67
Au1 0.5000 0.5000 0.5000 x1  12 La 3.78

Values from the calculation:
The formation energy is 0.1974 eV/atom. The calculation puts the total magnetization at 0.1 μB/f.u. As for the excess energy over the best structure of this formula in the dataset: 0.000 eV per atom.


[4]
Density functional theory data (PBE-GGA) for a relaxed structure of SrNi6Ge2.

Lattice parameters (Å, degrees): 9.4799 6.9713 4.2583 90.00 94.29 90.00
Closest atoms and distances in Å follow each position.
Space group C2/m (No. 12)
Symmetry-distinct sites (fractional):
Sr1 0.0000 0.0000 0.0000 x2  12 Ni 3.07-3.25, 2 Ge 3.14
Ni1 0.0000 0.3170 0.5000 x4  2 Ge 2.33, 3 Ni 2.47-2.55
Ni2 0.2276 0.3245 0.2508 x8  4 Ni 2.37-2.47, 3 Ge 2.43-2.56
Ge1 0.1784 0.5000 0.7591 x4  8 Ni 2.33-2.56

Values from the calculation:
The formation energy is -0.0670 eV/atom. The calculation puts the total magnetization at 0.0 μB/f.u. As for the excess energy over the best structure of this formula in the dataset: 0.147 eV per atom.